The following is a PBE-GGA calculation of crystalline As2PbBrO at its relaxed geometry, from the Alexandria database.

VASP energy ... -3.943 eV per atom
Offset from the most stable computed form ... 0 meV per atom

Cell lengths 4.2637, 4.2637, 6.3599 Å; angles 90.00, 90.00, 90.00 degrees
Last column: nearest neighbours and their distance in Å.
Positions (direct):
As (0.0000, 0.5000, 0.0000)  2 O 2.13
As (0.5000, 0.0000, 0.0000)  2 O 2.13
Pb (0.0000, 0.0000, 0.5000)  4 Br 3.01
Br (0.5000, 0.5000, 0.5000)  4 Pb 3.01, 2 O 3.18
O (0.5000, 0.5000, 0.0000)  4 As 2.13

=====

The following is a PBE-GGA calculation of crystalline As3Pb5BrO12 at its relaxed geometry, from the Alexandria database.

VASP energy ... -5.763 eV per atom

Cell lengths 10.6485, 10.6485, 7.4445 Å; angles 90.00, 90.00, 120.00 degrees
Last column: nearest neighbours and their distance in Å.
Positions (direct):
As (0.0305, 0.4140, 0.2500)  4 O 1.71-1.75
As (0.3834, 0.9695, 0.2500)  4 O 1.71-1.75
As (0.4140, 0.3834, 0.7500)  4 O 1.71-1.75
As (0.5860, 0.6166, 0.2500)  4 O 1.71-1.75
As (0.6166, 0.0305, 0.7500)  4 O 1.71-1.75
As (0.9695, 0.5860, 0.7500)  4 O 1.71-1.75
Pb (0.0279, 0.7609, 0.2500)  5 O 2.41-2.68
Pb (0.2391, 0.2670, 0.2500)  5 O 2.41-2.68
Pb (0.2670, 0.0279, 0.7500)  5 O 2.41-2.68
Pb (0.3333, 0.6667, 0.5069)  6 O 2.58-2.71
Pb (0.3333, 0.6667, 0.9931)  6 O 2.58-2.71
Pb (0.6667, 0.3333, 0.0069)  6 O 2.58-2.71
Pb (0.6667, 0.3333, 0.4931)  6 O 2.58-2.71
Pb (0.7330, 0.9721, 0.2500)  5 O 2.41-2.68
Pb (0.7609, 0.7330, 0.7500)  5 O 2.41-2.68
Pb (0.9721, 0.2391, 0.7500)  5 O 2.41-2.68
Br (0.0000, 0.0000, 0.0000)  6 Pb 3.28, 6 O 3.49
Br (0.0000, 0.0000, 0.5000)  6 Pb 3.28, 6 O 3.49
O (0.0919, 0.3610, 0.0660)  1 As 1.73
O (0.0919, 0.3610, 0.4340)  1 As 1.73
O (0.1295, 0.6037, 0.2500)  1 As 1.75
O (0.1524, 0.6490, 0.7500)  1 As 1.71
O (0.2691, 0.9081, 0.0660)  1 As 1.73
O (0.2691, 0.9081, 0.4340)  1 As 1.73
O (0.3510, 0.5034, 0.7500)  1 As 1.71
O (0.3610, 0.2691, 0.5660)  1 As 1.73
O (0.3610, 0.2691, 0.9340)  1 As 1.73
O (0.3963, 0.5258, 0.2500)  1 As 1.75
O (0.4742, 0.8705, 0.2500)  1 As 1.75
O (0.4966, 0.8476, 0.7500)  1 As 1.71
O (0.5034, 0.1524, 0.2500)  1 As 1.71
O (0.5258, 0.1295, 0.7500)  1 As 1.75
O (0.6037, 0.4742, 0.7500)  1 As 1.75
O (0.6390, 0.7309, 0.0660)  1 As 1.73
O (0.6390, 0.7309, 0.4340)  1 As 1.73
O (0.6490, 0.4966, 0.2500)  1 As 1.71
O (0.7309, 0.0919, 0.5660)  1 As 1.73
O (0.7309, 0.0919, 0.9340)  1 As 1.73
O (0.8476, 0.3510, 0.2500)  1 As 1.71
O (0.8705, 0.3963, 0.7500)  1 As 1.75
O (0.9081, 0.6390, 0.5660)  1 As 1.73
O (0.9081, 0.6390, 0.9340)  1 As 1.73

=====

The following is a PBE-GGA calculation of crystalline As3Pb2BrO6 at its relaxed geometry, from the Alexandria database.

VASP energy ... -5.624 eV per atom

Cell lengths 8.5871, 5.4630, 10.8113 Å; angles 90.00, 107.41, 90.00 degrees
Last column: nearest neighbours and their distance in Å.
Positions (direct):
As (0.0976, 0.2500, 0.3341)  3 O 1.81-1.84
As (0.1011, 0.2500, 0.6848)  3 O 1.77-1.87
As (0.2390, 0.2500, 0.0846)  3 O 1.80-1.88
As (0.7610, 0.7500, 0.9154)  3 O 1.80-1.88
As (0.8989, 0.7500, 0.3152)  3 O 1.77-1.87
As (0.9024, 0.7500, 0.6659)  3 O 1.81-1.84
Pb (0.3456, 0.7500, 0.8918)  4 O 2.54-2.63
Pb (0.4741, 0.7500, 0.2824)  3 O 2.35-2.41
Pb (0.5259, 0.2500, 0.7176)  3 O 2.35-2.41
Pb (0.6544, 0.2500, 0.1082)  4 O 2.54-2.63
Br (0.3058, 0.7500, 0.5747)  3 Pb 3.34-3.42, 3 O 3.59-3.65, 2 As 3.64
Br (0.6942, 0.2500, 0.4253)  3 Pb 3.34-3.42, 3 O 3.59-3.65, 2 As 3.64
O (0.0241, 0.5043, 0.7667)  2 As 1.84-1.87
O (0.0241, 0.9957, 0.7667)  2 As 1.84-1.87
O (0.2628, 0.2500, 0.2628)  2 As 1.81-1.88
O (0.2996, 0.2500, 0.7973)  1 As 1.77
O (0.3847, 0.0087, 0.0942)  1 As 1.80
O (0.3847, 0.4913, 0.0942)  1 As 1.80
O (0.6153, 0.5087, 0.9058)  1 As 1.80
O (0.6153, 0.9913, 0.9058)  1 As 1.80
O (0.7004, 0.7500, 0.2027)  1 As 1.77
O (0.7372, 0.7500, 0.7372)  2 As 1.81-1.88
O (0.9759, 0.0043, 0.2333)  2 As 1.84-1.87
O (0.9759, 0.4957, 0.2333)  2 As 1.84-1.87

=====

The following is a PBE-GGA calculation of crystalline AsPbBr2O at its relaxed geometry, from the Alexandria database.

VASP energy ... -3.155 eV per atom
Offset from the most stable computed form ... 0 meV per atom

Cell lengths 4.9252, 4.9252, 4.5321 Å; angles 90.00, 90.00, 90.00 degrees
Last column: nearest neighbours and their distance in Å.
Positions (direct):
As (0.0000, 0.0000, 0.0000)  2 O 2.27
Pb (0.5000, 0.5000, 0.0000)  8 Br 3.35, 4 As 3.48
Br (0.0000, 0.5000, 0.5000)  2 O 2.46
Br (0.5000, 0.0000, 0.5000)  2 O 2.46
O (0.0000, 0.0000, 0.5000)  2 As 2.27, 4 Br 2.46

=====

The following is a PBE-GGA calculation of crystalline AsPbBr2O at its relaxed geometry, from the Alexandria database.

VASP energy ... -2.650 eV per atom
Offset from the most stable computed form ... 505 meV per atom

Cell lengths 5.7949, 5.7949, 5.7171 Å; angles 90.00, 90.00, 90.00 degrees
Last column: nearest neighbours and their distance in Å.
Positions (direct):
As (0.0000, 0.0000, 0.0000)  2 Pb 2.86
Pb (0.0000, 0.0000, 0.5000)  2 As 2.86, 4 Br 2.90
Br (0.0000, 0.5000, 0.5000)  2 Pb 2.90
Br (0.5000, 0.0000, 0.5000)  2 Pb 2.90
O (0.5000, 0.5000, 0.0000)  8 Br 4.07, 4 As 4.10

=====

The following is a PBE-GGA calculation of crystalline AsPdBr2O at its relaxed geometry, from the Alexandria database.

VASP energy ... -3.110 eV per atom
Offset from the most stable computed form ... 0 meV per atom

Cell lengths 5.6873, 5.6873, 3.6582 Å; angles 90.00, 90.00, 90.00 degrees
Last column: nearest neighbours and their distance in Å.
Positions (direct):
As (0.0000, 0.0000, 0.0000)  2 O 1.83
Pd (0.5000, 0.5000, 0.0000)  8 Br 3.38, 2 Pd 3.66
Br (0.0000, 0.5000, 0.5000)  2 O 2.84
Br (0.5000, 0.0000, 0.5000)  2 O 2.84
O (0.0000, 0.0000, 0.5000)  2 As 1.83

=====

The following is a PBE-GGA calculation of crystalline AsPdBr2O at its relaxed geometry, from the Alexandria database.

VASP energy ... -2.831 eV per atom
Offset from the most stable computed form ... 280 meV per atom

Cell lengths 5.1871, 5.1871, 4.7591 Å; angles 90.00, 90.00, 90.00 degrees
Last column: nearest neighbours and their distance in Å.
Positions (direct):
As (0.0000, 0.0000, 0.0000)  2 Pd 2.38
Pd (0.0000, 0.0000, 0.5000)  2 As 2.38, 4 Br 2.59
Br (0.0000, 0.5000, 0.5000)  2 Pd 2.59
Br (0.5000, 0.0000, 0.5000)  2 Pd 2.59
O (0.5000, 0.5000, 0.0000)  8 Br 3.52, 4 As 3.67

=====

The following is a PBE-GGA calculation of crystalline PrAsBrO4 at its relaxed geometry, from the Alexandria database.

VASP energy ... -6.290 eV per atom

Cell lengths 6.7990, 6.7990, 7.0272 Å; angles 99.89, 99.89, 57.99 degrees
Last column: nearest neighbours and their distance in Å.
Positions (direct):
Pr (0.2039, 0.2039, 0.3218)  4 O 2.28-2.40
Pr (0.7961, 0.7961, 0.6782)  4 O 2.28-2.40
As (0.1355, 0.1355, 0.7577)  4 O 1.69-1.75
As (0.8645, 0.8645, 0.2423)  4 O 1.69-1.75
Br (0.4831, 0.4831, 0.8332)  1 Br 2.30
Br (0.5169, 0.5169, 0.1668)  1 Br 2.30
O (0.0088, 0.0088, 0.2636)  1 As 1.69
O (0.0202, 0.6198, 0.3728)  1 As 1.75
O (0.2045, 0.2045, 0.9927)  1 As 1.69
O (0.3802, 0.9798, 0.6272)  1 As 1.75
O (0.6198, 0.0202, 0.3728)  1 As 1.75
O (0.7955, 0.7955, 0.0073)  1 As 1.69
O (0.9798, 0.3802, 0.6272)  1 As 1.75
O (0.9912, 0.9912, 0.7364)  1 As 1.69

=====

The following is a PBE-GGA calculation of crystalline Pr4AsBrO8 at its relaxed geometry, from the Alexandria database.

VASP energy ... -7.481 eV per atom

Cell lengths 8.4457, 8.4457, 13.4543 Å; angles 90.00, 90.00, 90.00 degrees
Last column: nearest neighbours and their distance in Å.
Positions (direct):
Pr (0.0133, 0.2435, 0.1675)  5 O 2.34-2.49
Pr (0.0133, 0.2435, 0.8325)  5 O 2.34-2.49
Pr (0.2434, 0.5164, 0.3309)  6 O 2.36-2.59
Pr (0.2434, 0.5164, 0.6691)  6 O 2.36-2.59
Pr (0.2435, 0.9867, 0.3325)  5 O 2.34-2.49
Pr (0.2435, 0.9867, 0.6675)  5 O 2.34-2.49
Pr (0.4836, 0.2434, 0.1691)  6 O 2.36-2.59
Pr (0.4836, 0.2434, 0.8309)  6 O 2.36-2.59
Pr (0.5164, 0.7566, 0.1691)  6 O 2.36-2.59
Pr (0.5164, 0.7566, 0.8309)  6 O 2.36-2.59
Pr (0.7565, 0.0133, 0.3325)  5 O 2.34-2.49
Pr (0.7565, 0.0133, 0.6675)  5 O 2.34-2.49
Pr (0.7566, 0.4836, 0.3309)  6 O 2.36-2.59
Pr (0.7566, 0.4836, 0.6691)  6 O 2.36-2.59
Pr (0.9867, 0.7565, 0.1675)  5 O 2.34-2.49
Pr (0.9867, 0.7565, 0.8325)  5 O 2.34-2.49
As (0.0451, 0.2528, 0.5000)  4 O 1.71-1.74
As (0.2528, 0.9549, 0.0000)  4 O 1.71-1.74
As (0.7472, 0.0451, 0.0000)  4 O 1.71-1.74
As (0.9549, 0.7472, 0.5000)  4 O 1.71-1.74
Br (0.2534, 0.4381, 0.0000)  4 Pr 3.41-3.45, 6 O 3.43-3.68
Br (0.4381, 0.7466, 0.5000)  4 Pr 3.41-3.45, 6 O 3.43-3.68
Br (0.5619, 0.2534, 0.5000)  4 Pr 3.41-3.45, 6 O 3.43-3.68
Br (0.7466, 0.5619, 0.0000)  4 Pr 3.41-3.45, 6 O 3.43-3.68
O (0.0000, 0.0000, 0.2500)  4 Pr 2.34
O (0.0000, 0.0000, 0.7500)  4 Pr 2.34
O (0.0000, 0.5000, 0.2373)  4 Pr 2.36-2.41
O (0.0000, 0.5000, 0.7627)  4 Pr 2.36-2.41
O (0.0685, 0.7472, 0.3946)  1 As 1.71
O (0.0685, 0.7472, 0.6054)  1 As 1.71
O (0.0863, 0.8339, 0.0000)  1 As 1.74
O (0.1661, 0.0863, 0.5000)  1 As 1.74
O (0.1671, 0.4183, 0.5000)  1 As 1.74
O (0.2490, 0.2557, 0.2688)  4 Pr 2.36-2.43
O (0.2490, 0.2557, 0.7312)  4 Pr 2.36-2.43
O (0.2528, 0.0685, 0.1054)  1 As 1.71
O (0.2528, 0.0685, 0.8946)  1 As 1.71
O (0.2557, 0.7510, 0.2312)  4 Pr 2.36-2.43
O (0.2557, 0.7510, 0.7688)  4 Pr 2.36-2.43
O (0.4183, 0.8329, 0.0000)  1 As 1.74
O (0.5000, 0.0000, 0.2627)  4 Pr 2.36-2.41
O (0.5000, 0.0000, 0.7373)  4 Pr 2.36-2.41
O (0.5000, 0.5000, 0.2500)  4 Pr 2.43
O (0.5000, 0.5000, 0.7500)  4 Pr 2.43
O (0.5817, 0.1671, 0.0000)  1 As 1.74
O (0.7443, 0.2490, 0.2312)  4 Pr 2.36-2.43
O (0.7443, 0.2490, 0.7688)  4 Pr 2.36-2.43
O (0.7472, 0.9315, 0.1054)  1 As 1.71
O (0.7472, 0.9315, 0.8946)  1 As 1.71
O (0.7510, 0.7443, 0.2688)  4 Pr 2.36-2.43
O (0.7510, 0.7443, 0.7312)  4 Pr 2.36-2.43
O (0.8329, 0.5817, 0.5000)  1 As 1.74
O (0.8339, 0.9137, 0.5000)  1 As 1.74
O (0.9137, 0.1661, 0.0000)  1 As 1.74
O (0.9315, 0.2528, 0.3946)  1 As 1.71
O (0.9315, 0.2528, 0.6054)  1 As 1.71

=====

The following is a PBE-GGA calculation of crystalline As2PtBrO at its relaxed geometry, from the Alexandria database.

VASP energy ... -3.515 eV per atom
Offset from the most stable computed form ... 270 meV per atom

Cell lengths 4.8329, 4.8329, 5.3855 Å; angles 90.00, 90.00, 90.00 degrees
Last column: nearest neighbours and their distance in Å.
Positions (direct):
As (0.0000, 0.5000, 0.0000)  2 Pt 2.42
As (0.5000, 0.0000, 0.0000)  2 Pt 2.42
Pt (0.0000, 0.0000, 0.0000)  4 As 2.42, 2 Br 2.69
Br (0.0000, 0.0000, 0.5000)  2 Pt 2.69
O (0.5000, 0.5000, 0.5000)  4 Br 3.42, 8 As 3.62

=====

The following is a PBE-GGA calculation of crystalline As2PtBrO at its relaxed geometry, from the Alexandria database.

VASP energy ... -3.785 eV per atom
Offset from the most stable computed form ... 0 meV per atom

Cell lengths 4.3631, 4.3631, 4.6029 Å; angles 90.00, 90.00, 90.00 degrees
Last column: nearest neighbours and their distance in Å.
Positions (direct):
As (0.0000, 0.5000, 0.0000)  2 O 2.18
As (0.5000, 0.0000, 0.0000)  2 O 2.18
Pt (0.0000, 0.0000, 0.5000)  4 Br 3.09, 8 As 3.17
Br (0.5000, 0.5000, 0.5000)  2 O 2.30
O (0.5000, 0.5000, 0.0000)  4 As 2.18, 2 Br 2.30

=====

no.,formation energy from raw total energies (meV per atom)
1,-15
2,-1303
3,-1226
4,177
5,682
6,519
7,799
8,-1870
9,-2831
10,879
11,609